No. 1
# Nd2Pd5Pb3, optimized geometry, DFT PBE
data_Nd2Pd5Pb3
_chemical_formula_sum 'Nd8 Pd20 Pb12'
_symmetry_space_group_name_H-M 'I b a m'
_symmetry_Int_Tables_number 72
_symmetry_space_group_name_Hall '-I 2 2c'
_cell_length_a 12.105
_cell_length_b 12.195
_cell_length_c 6.215
_cell_angle_alpha 90.00
_cell_angle_beta 90.00
_cell_angle_gamma 90.00
loop_
_atom_site_label
_atom_site_type_symbol
_atom_site_fract_x
_atom_site_fract_y
_atom_site_fract_z
Nd1 Nd 0.125 0.230 0.000
Pd1 Pd 0.000 0.000 0.250
Pd2 Pd 0.116 0.339 0.500
Pd3 Pd 0.228 0.500 0.250
Pb1 Pb 0.000 0.500 0.250
Pb2 Pb 0.138 0.122 0.500
# Uncorrected energy (eV/atom): -5.12
# Energy of formation from the pure elements (eV per atom): -0.459

***

No. 2
# Nd2Pd15Pb2, optimized geometry, DFT PBE
data_Nd2Pd15Pb2
_chemical_formula_sum 'Nd6 Pd45 Pb6'
_symmetry_space_group_name_H-M 'R -3 m'
_symmetry_Int_Tables_number 166
_symmetry_space_group_name_Hall '-R 3 2"'
_cell_length_a 9.3542
_cell_length_b 9.3542
_cell_length_c 13.8979
_cell_angle_alpha 90.00
_cell_angle_beta 90.00
_cell_angle_gamma 120.00
loop_
_atom_site_label
_atom_site_type_symbol
_atom_site_fract_x
_atom_site_fract_y
_atom_site_fract_z
Nd1 Nd 0.0000 0.0000 0.1431
Pd1 Pd 0.0000 0.3173 0.5000
Pd2 Pd 0.0000 0.5000 0.0000
Pd3 Pd 0.0083 0.5042 0.6576
Pb1 Pb 0.0000 0.0000 0.3921
# Uncorrected energy (eV/atom): -5.34
# Energy of formation from the pure elements (eV per atom): -0.350

***

No. 3
# Nd4PdPb, optimized geometry, DFT PBE
data_Nd4PdPb
_chemical_formula_sum 'Nd16 Pd4 Pb4'
_symmetry_space_group_name_H-M 'C 1 2/c 1'
_symmetry_Int_Tables_number 15
_cell_length_a 8.978
_cell_length_b 14.558
_cell_length_c 6.003
_cell_angle_alpha 90.00
_cell_angle_beta 112.96
_cell_angle_gamma 90.00
loop_
_symmetry_equiv_pos_as_xyz
'x,y,z'
'-x,-y,-z'
'-x,y,-z+1/2'
'x,-y,z+1/2'
'x+1/2,y+1/2,z'
'-x+1/2,-y+1/2,-z'
'-x+1/2,y+1/2,-z+1/2'
'x+1/2,-y+1/2,z+1/2'
loop_
_atom_site_label
_atom_site_type_symbol
_atom_site_fract_x
_atom_site_fract_y
_atom_site_fract_z
Nd1 Nd 0.113 0.191 0.073
Nd2 Nd 0.219 0.423 0.349
Pd1 Pd 0.000 0.002 0.750
Pb1 Pb 0.000 0.383 0.750
# Uncorrected energy (eV/atom): -5.08
# Polymorph energy (0 for the lowest one) (meV per atom): 19.9
# Energy of formation from the pure elements (eV per atom): -0.421

***

No. 4
# Nd2PdPb8, optimized geometry, DFT PBE
data_Nd2PdPb8
_chemical_formula_sum 'Nd2 Pd1 Pb8'
_symmetry_space_group_name_H-M 'P 4/m m m'
_symmetry_Int_Tables_number 123
_symmetry_space_group_name_Hall '-P 4 2'
_cell_length_a 4.893
_cell_length_b 4.893
_cell_length_c 13.390
_cell_angle_alpha 90.00
_cell_angle_beta 90.00
_cell_angle_gamma 90.00
loop_
_atom_site_label
_atom_site_type_symbol
_atom_site_fract_x
_atom_site_fract_y
_atom_site_fract_z
Nd1 Nd 0.000 0.000 0.178
Pd1 Pd 0.000 0.000 0.500
Pb1 Pb 0.000 0.500 0.000
Pb2 Pb 0.000 0.500 0.375
Pb3 Pb 0.500 0.500 0.193
# Uncorrected energy (eV/atom): -4.33
# Energy of formation from the pure elements (eV per atom): -0.292

***

No. 5
# NdPd3Pb3, optimized geometry, DFT PBE
data_NdPd3Pb3
_chemical_formula_sum 'Nd6 Pd18 Pb18'
_symmetry_space_group_name_H-M 'R -3'
_symmetry_Int_Tables_number 148
_symmetry_space_group_name_Hall '-R 3'
_cell_length_a 8.6490
_cell_length_b 8.6490
_cell_length_c 16.5920
_cell_angle_alpha 90.00
_cell_angle_beta 90.00
_cell_angle_gamma 120.00
loop_
_atom_site_label
_atom_site_type_symbol
_atom_site_fract_x
_atom_site_fract_y
_atom_site_fract_z
Nd1 Nd 0.0000 0.0000 0.1648
Pd1 Pd 0.0041 0.6303 0.4367
Pb1 Pb 0.0077 0.7226 0.6037
# Uncorrected energy (eV/atom): -4.87
# Polymorph energy (0 for the lowest one) (meV per atom): 0.0
# Energy of formation from the pure elements (eV per atom): -0.370

***

No. 6
# NdPd3Pb, optimized geometry, DFT PBE
data_NdPd3Pb
_chemical_formula_sum 'Nd4 Pd12 Pb4'
_symmetry_space_group_name_H-M 'I m m a'
_symmetry_Int_Tables_number 74
_symmetry_space_group_name_Hall '-I 2b 2'
_cell_length_a 5.801
_cell_length_b 11.202
_cell_length_c 7.363
_cell_angle_alpha 90.00
_cell_angle_beta 90.00
_cell_angle_gamma 90.00
loop_
_atom_site_label
_atom_site_type_symbol
_atom_site_fract_x
_atom_site_fract_y
_atom_site_fract_z
Nd1 Nd 0.000 0.250 0.063
Pd1 Pd 0.000 0.250 0.476
Pd2 Pd 0.250 0.124 0.750
Pb1 Pb 0.000 0.000 0.500
# Uncorrected energy (eV/atom): -5.22
# Energy of formation from the pure elements (eV per atom): -0.405

***

No. 7
# NdPd12Pb3, optimized geometry, DFT PBE
data_NdPd12Pb3
_chemical_formula_sum 'Nd1 Pd12 Pb3'
_symmetry_space_group_name_H-M 'P 4/m m m'
_symmetry_Int_Tables_number 123
_symmetry_space_group_name_Hall '-P 4 2'
_cell_length_a 4.141
_cell_length_b 4.141
_cell_length_c 16.475
_cell_angle_alpha 90.00
_cell_angle_beta 90.00
_cell_angle_gamma 90.00
loop_
_atom_site_label
_atom_site_type_symbol
_atom_site_fract_x
_atom_site_fract_y
_atom_site_fract_z
Nd1 Nd 0.000 0.000 0.000
Pd1 Pd 0.000 0.500 0.130
Pd2 Pd 0.000 0.500 0.376
Pd3 Pd 0.500 0.500 0.000
Pd4 Pd 0.500 0.500 0.253
Pd5 Pd 0.500 0.500 0.500
Pb1 Pb 0.000 0.000 0.253
Pb2 Pb 0.000 0.000 0.500
# Uncorrected energy (eV/atom): -5.29
# Energy of formation from the pure elements (eV per atom): -0.406

***

No. 8
# PmNdPdPb, optimized geometry, DFT PBE
data_PmNdPdPb
_chemical_formula_sum 'Pm4 Nd4 Pd4 Pb4'
_symmetry_space_group_name_H-M 'F -4 3 m'
_symmetry_Int_Tables_number 216
_symmetry_space_group_name_Hall 'F -4 2 3'
_cell_length_a 7.580
_cell_length_b 7.580
_cell_length_c 7.580
_cell_angle_alpha 90.00
_cell_angle_beta 90.00
_cell_angle_gamma 90.00
loop_
_atom_site_label
_atom_site_type_symbol
_atom_site_fract_x
_atom_site_fract_y
_atom_site_fract_z
Pm1 Pm 0.000 0.000 0.000
Nd1 Nd 0.000 0.000 0.500
Pd1 Pd 0.250 0.250 0.250
Pb1 Pb 0.250 0.250 0.750
# Uncorrected energy (eV/atom): -5.19
# Energy of formation from the pure elements (eV per atom): -0.582

***

No. 9
# PrNdPdPb, optimized geometry, DFT PBE
data_PrNdPdPb
_chemical_formula_sum 'Pr4 Nd4 Pd4 Pb4'
_symmetry_space_group_name_H-M 'F -4 3 m'
_symmetry_Int_Tables_number 216
_symmetry_space_group_name_Hall 'F -4 2 3'
_cell_length_a 7.634
_cell_length_b 7.634
_cell_length_c 7.634
_cell_angle_alpha 90.00
_cell_angle_beta 90.00
_cell_angle_gamma 90.00
loop_
_atom_site_label
_atom_site_type_symbol
_atom_site_fract_x
_atom_site_fract_y
_atom_site_fract_z
Pr1 Pr 0.000 0.000 0.000
Nd1 Nd 0.000 0.000 0.500
Pd1 Pd 0.250 0.250 0.750
Pb1 Pb 0.250 0.250 0.250
# Uncorrected energy (eV/atom): -5.18
# Energy of formation from the pure elements (eV per atom): -0.570

***

No. 10
# NdPdPtPb, optimized geometry, DFT PBE
data_NdPdPtPb
_chemical_formula_sum 'Nd4 Pd4 Pt4 Pb4'
_symmetry_space_group_name_H-M 'F -4 3 m'
_symmetry_Int_Tables_number 216
_symmetry_space_group_name_Hall 'F -4 2 3'
_cell_length_a 7.039
_cell_length_b 7.039
_cell_length_c 7.039
_cell_angle_alpha 90.00
_cell_angle_beta 90.00
_cell_angle_gamma 90.00
loop_
_atom_site_label
_atom_site_type_symbol
_atom_site_fract_x
_atom_site_fract_y
_atom_site_fract_z
Nd1 Nd 0.000 0.000 0.000
Pd1 Pd 0.250 0.250 0.250
Pt1 Pt 0.250 0.250 0.750
Pb1 Pb 0.000 0.000 0.500
# Uncorrected energy (eV/atom): -5.59
# Energy of formation from the pure elements (eV per atom): -0.663

***

No. 11
# NdSb2Pd7Pb2, optimized geometry, DFT PBE
data_NdSb2Pd7Pb2
_chemical_formula_sum 'Nd2 Sb4 Pd14 Pb4'
_symmetry_space_group_name_H-M 'C 1 2/m 1'
_symmetry_Int_Tables_number 12
_cell_length_a 5.843
_cell_length_b 5.832
_cell_length_c 15.357
_cell_angle_alpha 90.00
_cell_angle_beta 95.52
_cell_angle_gamma 90.00
loop_
_symmetry_equiv_pos_as_xyz
'x,y,z'
'-x,-y,-z'
'-x,y,-z'
'x,-y,z'
'x+1/2,y+1/2,z'
'-x+1/2,-y+1/2,-z'
'-x+1/2,y+1/2,-z'
'x+1/2,-y+1/2,z'
loop_
_atom_site_label
_atom_site_type_symbol
_atom_site_fract_x
_atom_site_fract_y
_atom_site_fract_z
Nd1 Nd 0.000 0.000 0.000
Sb1 Sb 0.066 0.500 0.251
Pd1 Pd 0.000 0.500 0.000
Pd2 Pd 0.115 0.500 0.424
Pd3 Pd 0.212 0.250 0.858
Pb1 Pb 0.121 0.000 0.403
# Uncorrected energy (eV/atom): -5.16
# Formation energy without anion corrections (eV per formula unit): -5.10

***

No. 12
# NdScPdPb, optimized geometry, DFT PBE
data_NdScPdPb
_chemical_formula_sum 'Nd4 Sc4 Pd4 Pb4'
_symmetry_space_group_name_H-M 'F -4 3 m'
_symmetry_Int_Tables_number 216
_symmetry_space_group_name_Hall 'F -4 2 3'
_cell_length_a 7.309
_cell_length_b 7.309
_cell_length_c 7.309
_cell_angle_alpha 90.00
_cell_angle_beta 90.00
_cell_angle_gamma 90.00
loop_
_atom_site_label
_atom_site_type_symbol
_atom_site_fract_x
_atom_site_fract_y
_atom_site_fract_z
Nd1 Nd 0.000 0.000 0.000
Sc1 Sc 0.000 0.000 0.500
Pd1 Pd 0.250 0.250 0.750
Pb1 Pb 0.250 0.250 0.250
# Uncorrected energy (eV/atom): -5.54
# Energy of formation from the pure elements (eV per atom): -0.535